1.
Entry from the Alexandria database: a relaxed structure of Pm3Pr5Y3 (GGA-PBE).

Calculated values
The value obtained for the uncorrected energy is -49.31 eV per cell. As for the energy above the most stable polymorph in this dataset: 0.438 eV/atom. Its density of states at the Fermi level is 1.575 states/eV per atom. For the total moment, the calculation gives 0.000 μB per formula unit. Its energy of formation from the pure elements is 8.228 eV/f.u.

abc: 9.8376 9.8376 5.5889
angles: 90.00 90.00 120.00
With the nearest neighbours (Å) after each atom.
Positions (direct):
Pm 0.0000 0.3588 0.0000  4 Pr 3.16-3.18, 2 Y 3.29
Pm 0.3588 0.0000 0.0000  4 Pr 3.16-3.18, 2 Y 3.29
Pm 0.6412 0.6412 0.0000  4 Pr 3.16-3.18, 2 Y 3.29
Pr 0.0000 0.7310 0.0000  2 Pm 3.18, 2 Y 3.40
Pr 0.2690 0.2690 0.0000  2 Pm 3.18, 2 Y 3.40
Pr 0.3333 0.6667 0.0000  3 Pm 3.16
Pr 0.6667 0.3333 0.0000  3 Pm 3.16
Pr 0.7310 0.0000 0.0000  2 Pm 3.18, 2 Y 3.40
Y 0.0000 0.5347 0.5000  2 Pm 3.29, 2 Pr 3.40
Y 0.4653 0.4653 0.5000  2 Pm 3.29, 2 Pr 3.40
Y 0.5347 0.0000 0.5000  2 Pm 3.29, 2 Pr 3.40

***

2.
Entry from the Alexandria database: a relaxed structure of LaIn2Rh (GGA-PBE).

Calculated values
The value obtained for the uncorrected energy is -36.54 eV per cell. Its density of states at the Fermi level is 0.760 states/eV per atom. For the total moment, the calculation gives 0.000 μB per formula unit. Its energy of formation from the pure elements is -0.514 eV/f.u.

abc: 5.7135 10.4669 3.2798
angles: 90.00 101.92 90.00
With the nearest neighbours (Å) after each atom.
Positions (direct):
La 0.0000 0.0000 0.0000  2 Rh 2.86
La 0.5000 0.5000 0.0000  2 Rh 2.86
In 0.2500 0.2500 0.5000  2 In 2.86
In 0.2500 0.7500 0.5000  2 In 2.86
In 0.7500 0.2500 0.5000  2 In 2.86
In 0.7500 0.7500 0.5000  2 In 2.86
Rh 0.0000 0.5000 0.0000  2 La 2.86
Rh 0.5000 0.0000 0.0000  2 La 2.86

***

3.
Entry from the Alexandria database: a relaxed structure of Er4PSe2S (GGA-PBE).

Calculated values
The value obtained for the uncorrected energy is -49.24 eV per cell. Its density of states at the Fermi level is 0.354 states/eV per atom. For the total moment, the calculation gives 0.000 μB per formula unit. The calculation puts the formation energy (no corrections) at -1.8108 eV/atom.

abc: 6.8360 3.9555 6.9901
angles: 90.00 109.06 90.00
With the nearest neighbours (Å) after each atom.
Positions (direct):
Er 0.2381 0.0000 0.2250  2 P 2.71, 1 S 2.74, 3 Se 2.90-2.93
Er 0.2546 0.5000 0.7750  1 P 2.70, 2 S 2.73, 3 Se 2.91-2.94
Er 0.7454 0.5000 0.2250  1 P 2.70, 2 S 2.73, 3 Se 2.91-2.94
Er 0.7619 0.0000 0.7750  2 P 2.71, 1 S 2.74, 3 Se 2.90-2.93
P 0.0000 0.5000 0.0000  6 Er 2.70-2.71
Se 0.0000 0.0000 0.5000  6 Er 2.90-2.91
Se 0.5000 0.5000 0.5000  6 Er 2.93-2.94
S 0.5000 0.0000 0.0000  6 Er 2.73-2.74

***

4.
Entry from the Alexandria database: a relaxed structure of Ba3TiGe (GGA-PBE).

Calculated values
The value obtained for the uncorrected energy is -15.43 eV per cell. As for the energy above the most stable polymorph in this dataset: 0.000 eV/atom. Its density of states at the Fermi level is 3.253 states/eV per atom. For the total moment, the calculation gives 0.961 μB per formula unit. Its energy of formation from the pure elements is 2.846 eV/f.u.

abc: 6.3899 6.3899 6.3899
angles: 90.00 90.00 90.00
With the nearest neighbours (Å) after each atom.
Positions (direct):
Ba 0.0000 0.0000 0.5000  2 Ge 3.19
Ba 0.0000 0.5000 0.0000  2 Ge 3.19
Ba 0.5000 0.0000 0.0000  2 Ge 3.19
Ti 0.5000 0.5000 0.5000  12 Ba 4.52
Ge 0.0000 0.0000 0.0000  6 Ba 3.19

***

5.
Entry from the Alexandria database: a relaxed structure of Cd2Pt8Au (GGA-PBE).

Calculated values
The value obtained for the uncorrected energy is -54.16 eV per cell. Its density of states at the Fermi level is 1.038 states/eV per atom. For the total moment, the calculation gives 0.000 μB per formula unit. Its energy of formation from the pure elements is -0.724 eV/f.u.

abc: 7.3501 7.3501 7.3501
angles: 148.33 110.12 78.75
With the nearest neighbours (Å) after each atom.
Positions (direct):
Cd 0.1396 0.1396 0.0000  10 Pt 2.77-3.02
Cd 0.8604 0.8604 0.0000  10 Pt 2.77-3.02
Pt 0.0869 0.3328 0.7541  7 Pt 2.75-2.89, 1 Au 2.81, 3 Cd 2.95-3.02
Pt 0.2693 0.0000 0.2693  6 Pt 2.77-2.82, 2 Cd 2.77, 2 Au 2.79
Pt 0.3195 0.8195 0.5000  8 Pt 2.75-2.89, 2 Cd 2.86, 2 Au 2.87
Pt 0.4213 0.6672 0.7541  7 Pt 2.75-2.89, 1 Au 2.81, 3 Cd 2.95-3.02
Pt 0.5787 0.3328 0.2459  7 Pt 2.75-2.89, 1 Au 2.81, 3 Cd 2.95-3.02
Pt 0.6805 0.1805 0.5000  8 Pt 2.75-2.89, 2 Cd 2.86, 2 Au 2.87
Pt 0.7307 0.0000 0.7307  6 Pt 2.77-2.82, 2 Cd 2.77, 2 Au 2.79
Pt 0.9131 0.6672 0.2459  7 Pt 2.75-2.89, 1 Au 2.81, 3 Cd 2.95-3.02
Au 0.5000 0.5000 0.0000  12 Pt 2.79-2.87

***

6.
Entry from the Alexandria database: a relaxed structure of B2PC (GGA-PBE).

Calculated values
The value obtained for the uncorrected energy is -25.72 eV per cell. As for the energy above the most stable polymorph in this dataset: 0.491 eV/atom. Its density of states at the Fermi level is 0.210 states/eV per atom. For the total moment, the calculation gives 0.000 μB per formula unit. Its energy of formation from the pure elements is 2.267 eV/f.u.

abc: 2.6332 2.6332 5.4582
angles: 90.00 90.00 120.00
With the nearest neighbours (Å) after each atom.
Positions (direct):
B 0.0000 0.0000 0.1508  1 B 1.65, 3 C 1.73
B 0.0000 0.0000 0.8492  1 B 1.65, 3 C 1.73
P 0.0000 0.0000 0.5000  2 B 1.91
C 0.3333 0.6667 0.0000  6 B 1.73

***

7.
Entry from the Alexandria database: a relaxed structure of BiSe2Cl (GGA-PBE).

Calculated values
The value obtained for the uncorrected energy is -49.68 eV per cell. As for the energy above the most stable polymorph in this dataset: 0.000 eV/atom. Its density of states at the Fermi level is 0.189 states/eV per atom. For the total moment, the calculation gives 0.000 μB per formula unit. The calculation puts the formation energy (no corrections) at 0.0693 eV/atom.

abc: 7.6115 7.6115 8.1902
angles: 90.00 90.00 90.00
With the nearest neighbours (Å) after each atom.
Positions (direct):
Bi 0.0000 0.0000 0.0000  4 Se 2.77
Bi 0.0000 0.5000 0.2500  4 Se 2.77
Bi 0.5000 0.0000 0.7500  4 Se 2.77
Bi 0.5000 0.5000 0.5000  4 Se 2.77
Se 0.2281 0.2500 0.1250  2 Bi 2.77, 2 Cl 2.99
Se 0.2500 0.7281 0.3750  2 Bi 2.77, 2 Cl 2.99
Se 0.2500 0.7719 0.8750  2 Bi 2.77, 2 Cl 2.99
Se 0.2719 0.2500 0.6250  2 Bi 2.77, 2 Cl 2.99
Se 0.7281 0.7500 0.6250  2 Bi 2.77, 2 Cl 2.99
Se 0.7500 0.2281 0.8750  2 Bi 2.77, 2 Cl 2.99
Se 0.7500 0.2719 0.3750  2 Bi 2.77, 2 Cl 2.99
Se 0.7719 0.7500 0.1250  2 Bi 2.77, 2 Cl 2.99
Cl 0.0000 0.0000 0.5000  4 Se 2.99
Cl 0.0000 0.5000 0.7500  4 Se 2.99
Cl 0.5000 0.0000 0.2500  4 Se 2.99
Cl 0.5000 0.5000 0.0000  4 Se 2.99

***

8.
Entry from the Alexandria database: a relaxed structure of BaAcZnIn (GGA-PBE).

Calculated values
The value obtained for the uncorrected energy is -44.53 eV per cell. As for the energy above the most stable polymorph in this dataset: 0.035 eV/atom. Its density of states at the Fermi level is 0.830 states/eV per atom. For the total moment, the calculation gives 0.000 μB per formula unit. Its energy of formation from the pure elements is -1.088 eV/f.u.

abc: 8.2159 8.2159 8.2159
angles: 90.00 90.00 90.00
With the nearest neighbours (Å) after each atom.
Positions (direct):
Ba 0.0000 0.0000 0.0000  4 In 3.56, 4 Zn 3.56
Ba 0.0000 0.5000 0.5000  4 In 3.56, 4 Zn 3.56
Ba 0.5000 0.0000 0.5000  4 In 3.56, 4 Zn 3.56
Ba 0.5000 0.5000 0.0000  4 In 3.56, 4 Zn 3.56
Ac 0.0000 0.0000 0.5000  4 Zn 3.56, 4 In 3.56
Ac 0.0000 0.5000 0.0000  4 Zn 3.56, 4 In 3.56
Ac 0.5000 0.0000 0.0000  4 Zn 3.56, 4 In 3.56
Ac 0.5000 0.5000 0.5000  4 Zn 3.56, 4 In 3.56
Zn 0.2500 0.2500 0.2500  4 Ba 3.56, 4 Ac 3.56
Zn 0.2500 0.7500 0.7500  4 Ba 3.56, 4 Ac 3.56
Zn 0.7500 0.2500 0.7500  4 Ba 3.56, 4 Ac 3.56
Zn 0.7500 0.7500 0.2500  4 Ba 3.56, 4 Ac 3.56
In 0.2500 0.2500 0.7500  4 Ba 3.56, 4 Ac 3.56
In 0.2500 0.7500 0.2500  4 Ba 3.56, 4 Ac 3.56
In 0.7500 0.2500 0.2500  4 Ba 3.56, 4 Ac 3.56
In 0.7500 0.7500 0.7500  4 Ba 3.56, 4 Ac 3.56

***

9.
Entry from the Alexandria database: a relaxed structure of Tm8FeNi2 (GGA-PBE).

Calculated values
The value obtained for the uncorrected energy is -57.56 eV per cell. As for the energy above the most stable polymorph in this dataset: 0.000 eV/atom. Its density of states at the Fermi level is 1.073 states/eV per atom. For the total moment, the calculation gives 0.000 μB per formula unit. Its energy of formation from the pure elements is -1.759 eV/f.u.

abc: 8.6922 8.6922 6.5270
angles: 106.52 106.52 32.91
With the nearest neighbours (Å) after each atom.
Positions (direct):
Tm 0.0342 0.0342 0.2968  1 Ni 2.77, 2 Fe 2.93
Tm 0.2002 0.2002 0.8177  1 Ni 2.63
Tm 0.3318 0.3318 0.5279  1 Ni 2.68, 1 Fe 2.86
Tm 0.4080 0.4080 0.0597  1 Fe 2.83, 2 Ni 3.16
Tm 0.5920 0.5920 0.9403  1 Fe 2.83, 2 Ni 3.16
Tm 0.6682 0.6682 0.4721  1 Ni 2.68, 1 Fe 2.86
Tm 0.7998 0.7998 0.1823  1 Ni 2.63
Tm 0.9658 0.9658 0.7032  1 Ni 2.77, 2 Fe 2.93
Fe 0.5000 0.5000 0.5000  8 Tm 2.83-2.93
Ni 0.1866 0.1866 0.2091  3 Tm 2.63-2.77
Ni 0.8134 0.8134 0.7909  3 Tm 2.63-2.77

***

10.
Entry from the Alexandria database: a relaxed structure of WBr (GGA-PBE).

Calculated values
The value obtained for the uncorrected energy is -23.71 eV per cell. As for the energy above the most stable polymorph in this dataset: 1.304 eV/atom. Its density of states at the Fermi level is 1.119 states/eV per atom. For the total moment, the calculation gives 0.004 μB per formula unit. The calculation puts the formation energy (no corrections) at 1.3861 eV/atom.

abc: 2.9073 5.5321 4.6823
angles: 90.00 90.00 90.00
With the nearest neighbours (Å) after each atom.
Positions (direct):
W 0.0000 0.0000 0.0000  4 Br 2.76, 2 W 2.91
W 0.5000 0.5000 0.0000  4 Br 2.76, 2 W 2.91
Br 0.0000 0.5000 0.5000  4 W 2.76, 2 Br 2.91
Br 0.5000 0.0000 0.5000  4 W 2.76, 2 Br 2.91

***

11.
Entry from the Alexandria database: a relaxed structure of LaNdBiAu (GGA-PBE).

Calculated values
The value obtained for the uncorrected energy is -79.22 eV per cell. Its density of states at the Fermi level is 1.344 states/eV per atom. For the total moment, the calculation gives 0.001 μB per formula unit. Its energy of formation from the pure elements is -2.951 eV/f.u.

abc: 7.7611 7.7611 7.7611
angles: 90.00 90.00 90.00
With the nearest neighbours (Å) after each atom.
Positions (direct):
La 0.0000 0.0000 0.0000  4 Bi 3.36, 4 Au 3.36
La 0.0000 0.5000 0.5000  4 Bi 3.36, 4 Au 3.36
La 0.5000 0.0000 0.5000  4 Bi 3.36, 4 Au 3.36
La 0.5000 0.5000 0.0000  4 Bi 3.36, 4 Au 3.36
Nd 0.0000 0.0000 0.5000  4 Bi 3.36, 4 Au 3.36
Nd 0.0000 0.5000 0.0000  4 Bi 3.36, 4 Au 3.36
Nd 0.5000 0.0000 0.0000  4 Bi 3.36, 4 Au 3.36
Nd 0.5000 0.5000 0.5000  4 Bi 3.36, 4 Au 3.36
Bi 0.2500 0.2500 0.7500  4 La 3.36, 4 Nd 3.36
Bi 0.2500 0.7500 0.2500  4 La 3.36, 4 Nd 3.36
Bi 0.7500 0.2500 0.2500  4 La 3.36, 4 Nd 3.36
Bi 0.7500 0.7500 0.7500  4 Nd 3.36, 4 La 3.36
Au 0.2500 0.2500 0.2500  4 La 3.36, 4 Nd 3.36
Au 0.2500 0.7500 0.7500  4 La 3.36, 4 Nd 3.36
Au 0.7500 0.2500 0.7500  4 La 3.36, 4 Nd 3.36
Au 0.7500 0.7500 0.2500  4 La 3.36, 4 Nd 3.36

***

12.
Entry from the Alexandria database: a relaxed structure of Pm6Sm3Er2 (GGA-PBE).

Calculated values
The value obtained for the uncorrected energy is -48.70 eV per cell. Its density of states at the Fermi level is 1.544 states/eV per atom. For the total moment, the calculation gives 0.000 μB per formula unit. Its energy of formation from the pure elements is 3.083 eV/f.u.

abc: 17.1552 17.1552 17.1552
angles: 163.91 163.91 22.83
With the nearest neighbours (Å) after each atom.
Positions (direct):
Pm 0.1196 0.6196 0.5000  6 Pm 3.40-3.59, 2 Er 3.46, 2 Sm 3.59
Pm 0.1991 0.1991 0.0000  5 Sm 3.40-3.44, 4 Pm 3.59
Pm 0.3804 0.8804 0.5000  6 Pm 3.40-3.59, 2 Er 3.46, 2 Sm 3.59
Pm 0.6196 0.1196 0.5000  6 Pm 3.40-3.59, 2 Er 3.46, 2 Sm 3.59
Pm 0.8009 0.8009 0.0000  5 Sm 3.40-3.44, 4 Pm 3.59
Pm 0.8804 0.3804 0.5000  6 Pm 3.40-3.59, 2 Er 3.46, 2 Sm 3.59
Sm 0.3012 0.3012 0.0000  9 Pm 3.40-3.59
Sm 0.5000 0.5000 0.0000  8 Er 3.72
Sm 0.6988 0.6988 0.0000  9 Pm 3.40-3.59
Er 0.0454 0.0454 0.0000  1 Er 3.05
Er 0.9546 0.9546 0.0000  1 Er 3.05

***

Question: Among the records above, which one has the highest total moment?
Answer: Ba3TiGe